[1]
4
Lattice="-1.9169 4.4080 -0.2941 -4.6208 -0.3088 -1.3207 2.5189 -2.1983 3.4661" Properties=species:S:1:pos:R:3 comment="ZrCoIr2 | Alexandria | PBE-GGA | optimized geometry" sg="I-4m2, No. 119" crystal_system=tetragonal pbc="T T T"
Co -1.3334 2.1296 1.1823
Ir -2.6854 -0.2288 0.6690
Ir 0.0000 0.0000 0.0000
Zr -3.2689 2.0496 -0.8074

[2]
6
Lattice="-0.4615 -3.7913 -3.6391 -3.3685 -0.0620 4.0594 -1.2872 5.1171 -0.1403" Properties=species:S:1:pos:R:3 comment="ZrCoIr | Alexandria | PBE-GGA | optimized geometry" sg="Imma, No. 74" crystal_system=orthorhombic pbc="T T T"
Ir -0.6436 2.5586 -0.0701
Ir -2.5586 0.6319 0.1401
Zr -3.3484 3.4925 1.5061
Zr -1.7688 -2.2287 -1.2260
Co -3.5402 -0.0189 2.8896
Co -1.5770 1.2828 -2.6095

[3]
11
Lattice="-4.4356 -1.5353 -2.1046 4.6065 -2.0220 -5.1804 -0.0973 -3.8806 6.0890" Properties=species:S:1:pos:R:3 comment="Zr8Co2Ir | Alexandria | PBE-GGA | optimized geometry" sg="C2/m, No. 12" crystal_system=monoclinic pbc="T T T"
Zr -0.8520 -4.9598 -1.1737
Zr -3.4566 -5.0154 1.4440
Zr 1.0741 -5.5515 1.1781
Zr -2.1162 -2.3739 0.3702
Zr 0.9537 -2.5150 -0.0168
Zr -0.8760 -3.9957 -4.7386
Zr 2.2173 -5.0997 -1.5610
Zr -0.9732 -1.9223 -2.3682
Co 1.0256 -3.3512 -2.9309
Co -0.9243 -4.1217 1.7407
Ir -4.4212 -1.5538 -2.1017

Formation energy for every record listed, in sequence, given in meV per atom: -390 -301 -177.
Magnetization for every record listed, in sequence, given in μB/cell: 0.001 2.410 0.000.